Record 1
{
  "formula": "Mg2TeP",
  "functional": "GGA-PBE",
  "state": "optimized geometry",
  "lattice_angstrom": [[0.949, -6.433, -4.043], [2.051, -7.322, -0.906], [-3.608, -1.125, 0.948]],
  "species": ["Mg", "Mg", "P", "Te"],
  "fractional_positions": [[0.011, 0.011, 0.875], [0.305, 0.305, 0.375], [0.472, 0.472, 0.375], [0.712, 0.712, 0.875]],
  "m_tot_mub_per_cell": 0.0,
  "de_polymorph_mev_per_atom": 110.4,
  "dft_energy_ev_per_atom": -3.35,
  "dos_ef_per_ev_atom": 0.492,
  "raw_formation_energy_kj_per_mol_fu": -159
}



Record 2
{
  "formula": "La2Bi2Ir",
  "functional": "GGA-PBE",
  "state": "optimized geometry",
  "lattice_angstrom": [[-5.240, -1.540, 5.064], [3.060, -6.696, 1.129], [2.965, 1.974, 3.669]],
  "species": ["Ir", "Ir", "Bi", "Bi", "Bi", "Bi", "La", "La", "La", "La"],
  "fractional_positions": [[0.000, 0.000, 0.000], [0.500, 0.500, 0.000], [0.350, 0.850, 0.000], [0.850, 0.650, 0.000], [0.650, 0.150, 0.000], [0.150, 0.350, 0.000], [0.169, 0.669, 0.500], [0.669, 0.831, 0.500], [0.831, 0.331, 0.500], [0.331, 0.169, 0.500]],
  "m_tot_mub_per_cell": 0.0,
  "de_polymorph_mev_per_atom": 0.0,
  "delta_e_f_ev_per_atom": -0.462,
  "dft_energy_ev_per_atom": -5.76,
  "dos_ef_per_ev_atom": 1.170
}



Record 3
{
  "formula": "Y3Tm4Tl",
  "functional": "GGA-PBE",
  "state": "optimized geometry",
  "lattice_angstrom": [[6.140, 0.000, 0.000], [0.000, 6.971, 0.000], [0.000, 0.000, 11.145]],
  "species": ["Y", "Y", "Y", "Y", "Y", "Y", "Tm", "Tm", "Tm", "Tm", "Tm", "Tm", "Tm", "Tm", "Tl", "Tl"],
  "fractional_positions": [[0.630, 0.630, 0.000], [0.974, 0.618, 0.239], [0.474, 0.382, 0.261], [0.130, 0.370, 0.500], [0.474, 0.382, 0.739], [0.974, 0.618, 0.761], [0.166, 0.880, 0.000], [0.642, 0.128, 0.000], [0.989, 0.124, 0.241], [0.489, 0.876, 0.259], [0.142, 0.872, 0.500], [0.666, 0.120, 0.500], [0.489, 0.876, 0.741], [0.989, 0.124, 0.759], [0.152, 0.372, 0.000], [0.652, 0.628, 0.500]],
  "m_tot_mub_per_cell": 0.0,
  "delta_e_f_ev_per_atom": -0.074,
  "dft_energy_ev_per_atom": -5.03,
  "dos_ef_per_ev_atom": 1.223
}



Record 4
{
  "formula": "Hf5FePt2",
  "functional": "GGA-PBE",
  "state": "optimized geometry",
  "lattice_angstrom": [[3.625, 0.000, 0.000], [0.000, 7.735, 0.000], [0.000, 0.000, 11.103]],
  "species": ["Hf", "Hf", "Hf", "Hf", "Hf", "Hf", "Hf", "Hf", "Hf", "Hf", "Fe", "Fe", "Pt", "Pt", "Pt", "Pt"],
  "fractional_positions": [[0.000, 0.000, 0.500], [0.000, 0.500, 0.000], [0.000, 0.849, 0.203], [0.000, 0.151, 0.797], [0.000, 0.651, 0.703], [0.000, 0.349, 0.297], [0.500, 0.682, 0.424], [0.500, 0.318, 0.576], [0.500, 0.818, 0.924], [0.500, 0.182, 0.076], [0.000, 0.500, 0.500], [0.000, 0.000, 0.000], [0.500, 0.567, 0.176], [0.500, 0.433, 0.824], [0.500, 0.933, 0.676], [0.500, 0.067, 0.324]],
  "m_tot_mub_per_cell": 0.0,
  "delta_e_f_ev_per_atom": -0.598,
  "dft_energy_ev_per_atom": -9.39,
  "dos_ef_per_ev_atom": 1.047
}



Record 5
{
  "formula": "KCu2Re",
  "functional": "GGA-PBE",
  "state": "optimized geometry",
  "lattice_angstrom": [[-1.486, 4.005, 1.523], [-1.974, 2.262, 3.399], [6.028, 1.616, 3.071]],
  "species": ["Cu", "Cu", "K", "Re"],
  "fractional_positions": [[0.011, 0.011, 0.905], [0.489, 0.489, 0.595], [0.250, 0.250, 0.250], [0.750, 0.750, 0.750]],
  "m_tot_mub_per_cell": 0.5,
  "de_polymorph_mev_per_atom": 96.0,
  "delta_e_f_ev_per_atom": 0.747,
  "dft_energy_ev_per_atom": -4.69,
  "dos_ef_per_ev_atom": 0.861
}



Record 6
{
  "formula": "LaHg2Sb",
  "functional": "GGA-PBE",
  "state": "optimized geometry",
  "lattice_angstrom": [[-0.138, 3.388, -0.935], [-1.393, 1.067, 4.072], [6.824, 0.859, 2.109]],
  "species": ["Hg", "Hg", "La", "Sb"],
  "fractional_positions": [[0.000, 0.000, 0.019], [0.500, 0.500, 0.225], [0.000, 0.000, 0.505], [0.500, 0.500, 0.750]],
  "m_tot_mub_per_cell": 0.0,
  "dft_energy_ev_per_atom": -2.83,
  "dos_ef_per_ev_atom": 0.604,
  "raw_formation_energy_kj_per_mol_fu": -160
}



Record 7
{
  "formula": "La2Ce4Sb3N2",
  "functional": "GGA-PBE",
  "state": "optimized geometry",
  "lattice_angstrom": [[4.742, 0.000, 0.000], [0.000, 4.742, 0.000], [-2.371, -2.371, 13.267]],
  "species": ["La", "La", "Ce", "Ce", "Ce", "Ce", "Sb", "Sb", "Sb", "N", "N"],
  "fractional_positions": [[0.305, 0.305, 0.610], [0.695, 0.695, 0.390], [0.417, 0.917, 0.833], [0.917, 0.417, 0.833], [0.083, 0.583, 0.167], [0.583, 0.083, 0.167], [0.000, 0.000, 0.000], [0.176, 0.176, 0.352], [0.824, 0.824, 0.648], [0.398, 0.398, 0.795], [0.602, 0.602, 0.205]],
  "m_tot_mub_per_cell": 3.7,
  "dft_energy_ev_per_atom": -6.85,
  "dos_ef_per_ev_atom": 2.096,
  "raw_formation_energy_kj_per_mol_fu": -1232
}



Record 8
{
  "formula": "LiSiGeHF",
  "functional": "GGA-PBE",
  "state": "optimized geometry",
  "lattice_angstrom": [[-2.067, 1.404, 0.803], [-1.102, -2.176, 0.969], [4.937, 1.834, 9.487]],
  "species": ["Li", "Si", "Ge", "H", "F"],
  "fractional_positions": [[0.359, 0.379, 0.405], [0.878, 0.900, 0.735], [0.878, 0.911, 0.056], [0.878, 0.906, 0.887], [0.859, 0.879, 0.404]],
  "m_tot_mub_per_cell": 0.0,
  "de_polymorph_mev_per_atom": 24.3,
  "dft_energy_ev_per_atom": -4.29,
  "dos_ef_per_ev_atom": 0.276
}



Record 9
{
  "formula": "Pr3SnO2",
  "functional": "GGA-PBE",
  "state": "optimized geometry",
  "lattice_angstrom": [[0.219, 1.764, -4.434], [0.565, -4.417, -1.730], [-6.396, 0.763, 2.561]],
  "species": ["Pr", "Pr", "Pr", "Sn", "O", "O"],
  "fractional_positions": [[0.750, 0.250, 0.500], [0.500, 0.500, 0.000], [0.250, 0.750, 0.500], [0.000, 0.000, 0.000], [0.700, 0.700, 0.399], [0.300, 0.300, 0.601]],
  "m_tot_mub_per_cell": 0.0,
  "dft_energy_ev_per_atom": -6.82,
  "dos_ef_per_ev_atom": 0.420,
  "raw_formation_energy_kj_per_mol_fu": -1220
}



Record 10
{
  "formula": "BaTiCu2B",
  "functional": "GGA-PBE",
  "state": "optimized geometry",
  "lattice_angstrom": [[-1.835, 1.162, 3.754], [3.747, -1.398, 2.265], [1.715, 3.965, -0.390]],
  "species": ["B", "Ba", "Cu", "Cu", "Ti"],
  "fractional_positions": [[0.000, 0.000, 0.000], [0.500, 0.500, 0.500], [0.000, 0.000, 0.500], [0.500, 0.000, 0.000], [0.000, 0.500, 0.000]],
  "m_tot_mub_per_cell": 1.5,
  "delta_e_f_ev_per_atom": 0.355,
  "dft_energy_ev_per_atom": -4.58,
  "dos_ef_per_ev_atom": 0.587
}



Record 11
{
  "formula": "DyNi3",
  "functional": "GGA-PBE",
  "state": "optimized geometry",
  "lattice_angstrom": [[-2.553, 2.389, -3.518], [-0.977, -4.766, 0.969], [-10.995, 4.497, 11.033]],
  "species": ["Dy", "Dy", "Dy", "Dy", "Dy", "Dy", "Ni", "Ni", "Ni", "Ni", "Ni", "Ni", "Ni", "Ni", "Ni", "Ni", "Ni", "Ni", "Ni", "Ni", "Ni", "Ni", "Ni", "Ni"],
  "fractional_positions": [[0.667, 0.333, 0.542], [0.333, 0.667, 0.042], [0.333, 0.667, 0.458], [0.667, 0.333, 0.958], [0.667, 0.333, 0.750], [0.333, 0.667, 0.250], [0.334, 0.167, 0.127], [0.833, 0.167, 0.127], [0.833, 0.666, 0.127], [0.666, 0.833, 0.627], [0.167, 0.833, 0.627], [0.167, 0.334, 0.627], [0.167, 0.833, 0.873], [0.666, 0.833, 0.873], [0.167, 0.334, 0.873], [0.833, 0.167, 0.373], [0.334, 0.167, 0.373], [0.833, 0.666, 0.373], [0.667, 0.333, 0.250], [0.333, 0.667, 0.750], [0.000, 0.000, 0.250], [0.000, 0.000, 0.750], [0.000, 0.000, 0.000], [0.000, 0.000, 0.500]],
  "m_tot_mub_per_cell": 1.0,
  "delta_e_f_ev_per_atom": -0.414,
  "dft_energy_ev_per_atom": -5.90,
  "dos_ef_per_ev_atom": 1.348
}



Record 12
{
  "formula": "CaLuPd",
  "functional": "GGA-PBE",
  "state": "optimized geometry",
  "lattice_angstrom": [[-0.056, -2.332, 2.635], [2.276, -2.034, -1.752], [3.737, 5.210, 2.341]],
  "species": ["Ca", "Lu", "Pd"],
  "fractional_positions": [[0.026, 0.026, 0.052], [0.293, 0.293, 0.585], [0.682, 0.682, 0.363]],
  "m_tot_mub_per_cell": 0.0,
  "de_polymorph_mev_per_atom": 0.0,
  "delta_e_f_ev_per_atom": -0.551,
  "dft_energy_ev_per_atom": -4.46,
  "dos_ef_per_ev_atom": 0.632
}



Record 13
{
  "formula": "YSi2Rh8",
  "functional": "GGA-PBE",
  "state": "optimized geometry",
  "lattice_angstrom": [[-1.394, 5.302, -2.066], [-5.685, -1.383, 0.286], [-0.213, 1.931, 5.097]],
  "species": ["Y", "Si", "Si", "Rh", "Rh", "Rh", "Rh", "Rh", "Rh", "Rh", "Rh"],
  "fractional_positions": [[0.500, 0.500, 0.500], [0.500, 0.000, 0.000], [0.000, 0.500, 0.000], [0.778, 0.778, 0.247], [0.778, 0.222, 0.753], [0.778, 0.778, 0.753], [0.778, 0.222, 0.247], [0.222, 0.778, 0.247], [0.222, 0.778, 0.753], [0.222, 0.222, 0.247], [0.222, 0.222, 0.753]],
  "m_tot_mub_per_cell": 0.0,
  "dft_energy_ev_per_atom": -6.93,
  "dos_ef_per_ev_atom": 1.506,
  "raw_formation_energy_kj_per_mol_fu": -15
}



Record 14
{
  "formula": "Pm3Ge2",
  "functional": "GGA-PBE",
  "state": "optimized geometry",
  "lattice_angstrom": [[4.085, 0.000, 1.793], [1.353, 5.351, 2.467], [-0.216, 0.068, 6.041]],
  "species": ["Pm", "Pm", "Pm", "Ge", "Ge"],
  "fractional_positions": [[0.000, 0.000, 0.000], [0.800, 0.700, 0.700], [0.200, 0.300, 0.300], [0.500, 0.299, 0.701], [0.500, 0.701, 0.299]],
  "m_tot_mub_per_cell": 0.0,
  "de_polymorph_mev_per_atom": 0.0,
  "delta_e_f_ev_per_atom": -0.702,
  "dft_energy_ev_per_atom": -5.40,
  "dos_ef_per_ev_atom": 0.719
}



Record 15
{
  "formula": "Cs2InRuI6",
  "functional": "GGA-PBE",
  "state": "optimized geometry",
  "lattice_angstrom": [[8.474, 0.000, 0.000], [0.000, 8.474, 0.000], [4.237, 4.237, 5.988]],
  "species": ["Cs", "Cs", "I", "I", "I", "I", "I", "I", "Ru", "In"],
  "fractional_positions": [[0.750, 0.250, 0.500], [0.250, 0.750, 0.500], [0.271, 0.271, 0.458], [0.729, 0.729, 0.542], [0.271, 0.271, 0.000], [0.729, 0.729, 0.000], [0.729, 0.271, 0.000], [0.271, 0.729, 0.000], [0.500, 0.500, 0.000], [0.000, 0.000, 0.000]],
  "m_tot_mub_per_cell": 1.0,
  "dft_energy_ev_per_atom": -3.01,
  "dos_ef_per_ev_atom": 1.362,
  "raw_formation_energy_kj_per_mol_fu": -679
}



Record 16
{
  "formula": "HfBe4Co",
  "functional": "GGA-PBE",
  "state": "optimized geometry",
  "lattice_angstrom": [[-2.092, 1.945, -3.419], [-4.009, -1.460, -1.280], [-3.617, 2.495, 0.731]],
  "species": ["Co", "Hf", "Be", "Be", "Be", "Be"],
  "fractional_positions": [[0.000, 0.000, 0.000], [0.250, 0.250, 0.250], [0.626, 0.626, 0.123], [0.626, 0.123, 0.626], [0.626, 0.626, 0.626], [0.123, 0.626, 0.626]],
  "m_tot_mub_per_cell": 0.4,
  "delta_e_f_ev_per_atom": -0.219,
  "dft_energy_ev_per_atom": -5.55,
  "dos_ef_per_ev_atom": 0.791
}



Record 17
{
  "formula": "AcCeScGe2",
  "functional": "GGA-PBE",
  "state": "optimized geometry",
  "lattice_angstrom": [[4.535, 0.000, 0.000], [0.000, 4.535, 0.000], [-2.267, -2.267, 6.420]],
  "species": ["Ac", "Ce", "Sc", "Ge", "Ge"],
  "fractional_positions": [[0.000, 0.000, 0.000], [0.250, 0.750, 0.500], [0.750, 0.250, 0.500], [0.602, 0.602, 0.205], [0.398, 0.398, 0.795]],
  "m_tot_mub_per_cell": 0.6,
  "delta_e_f_ev_per_atom": -0.602,
  "dft_energy_ev_per_atom": -5.72,
  "dos_ef_per_ev_atom": 1.374
}



Record 18
{
  "formula": "Ca2Ag2IrO6",
  "functional": "GGA-PBE",
  "state": "optimized geometry",
  "lattice_angstrom": [[5.801, -0.122, 0.737], [-2.973, 4.983, 0.737], [-0.365, -0.628, 6.328]],
  "species": ["Ca", "Ca", "Ag", "Ag", "Ir", "O", "O", "O", "O", "O", "O"],
  "fractional_positions": [[0.335, 0.665, 0.500], [0.665, 0.335, 0.500], [0.853, 0.147, 0.000], [0.147, 0.853, 0.000], [0.000, 0.000, 0.500], [0.695, 0.695, 0.662], [0.968, 0.258, 0.673], [0.305, 0.305, 0.338], [0.258, 0.968, 0.673], [0.032, 0.742, 0.327], [0.742, 0.032, 0.327]],
  "m_tot_mub_per_cell": 2.8,
  "dft_energy_ev_per_atom": -5.74,
  "dos_ef_per_ev_atom": 0.327,
  "raw_formation_energy_kj_per_mol_fu": -1433
}



Record 19
{
  "formula": "Ba2PrRe3O12",
  "functional": "GGA-PBE",
  "state": "optimized geometry",
  "lattice_angstrom": [[6.974, -0.264, -0.188], [3.214, 6.195, -0.188], [3.214, 1.871, 5.909]],
  "species": ["Ba", "Ba", "Pr", "Re", "Re", "Re", "O", "O", "O", "O", "O", "O", "O", "O", "O", "O", "O", "O"],
  "fractional_positions": [[0.615, 0.615, 0.615], [0.385, 0.385, 0.385], [0.000, 0.000, 0.000], [0.500, 0.000, 0.000], [0.000, 0.500, 0.000], [0.000, 0.000, 0.500], [0.279, 0.279, 0.902], [0.870, 0.870, 0.418], [0.418, 0.870, 0.870], [0.902, 0.279, 0.279], [0.870, 0.418, 0.870], [0.279, 0.902, 0.279], [0.721, 0.721, 0.098], [0.130, 0.130, 0.582], [0.582, 0.130, 0.130], [0.098, 0.721, 0.721], [0.130, 0.582, 0.130], [0.721, 0.098, 0.721]],
  "m_tot_mub_per_cell": 0.2,
  "dft_energy_ev_per_atom": -7.97,
  "dos_ef_per_ev_atom": 0.414,
  "raw_formation_energy_kj_per_mol_fu": -3661
}



Record 20
{
  "formula": "PaSnBiAu",
  "functional": "GGA-PBE",
  "state": "optimized geometry",
  "lattice_angstrom": [[5.260, 0.000, 0.000], [2.630, 4.555, 0.000], [2.630, 1.518, 4.295]],
  "species": ["Pa", "Au", "Bi", "Sn"],
  "fractional_positions": [[0.750, 0.750, 0.750], [0.500, 0.500, 0.500], [0.000, 0.000, 0.000], [0.250, 0.250, 0.250]],
  "m_tot_mub_per_cell": 0.6,
  "de_polymorph_mev_per_atom": 226.1,
  "delta_e_f_ev_per_atom": -0.053,
  "dft_energy_ev_per_atom": -5.22,
  "dos_ef_per_ev_atom": 1.308
}